Arrangement i

Computed, not measured: a crystal of CaPt2Br relaxed with PBEsol at the SCAN level of DFT.

Summary:
Crystal system: monoclinic

a b c (Å): 3.235 4.517 5.847
angles (deg): 112.61 105.90 90.38
Positions (direct):
Ca: 0.000 0.500 0.000
Pt: 0.000 0.000 0.500
Br: 0.500 0.000 0.000
Pt: 0.500 0.500 0.500


Arrangement ii

Computed, not measured: a crystal of CaPt2Br relaxed with PBEsol at the SCAN level of DFT.

Summary:
Crystal system: tetragonal

a b c (Å): 3.803 3.803 5.462
angles (deg): 90.00 90.00 90.00
Positions (direct):
Pt: 0.000 0.500 0.000
Br: 0.500 0.500 0.500
Ca: 0.000 0.000 0.500
Pt: 0.500 0.000 0.000


Most stable = arrangement ii


Arrangement i

Computed, not measured: a crystal of YZr2Tc relaxed with PBEsol at the SCAN level of DFT.

Summary:
Crystal system: orthorhombic

a b c (Å): 3.370 5.114 5.834
angles (deg): 115.99 106.79 90.00
Positions (direct):
Y: 0.000 0.500 0.000
Tc: 0.500 0.000 0.000
Zr: 0.792 0.792 0.584
Zr: 0.208 0.208 0.416


Arrangement ii

Computed, not measured: a crystal of YZr2Tc relaxed with PBEsol at the SCAN level of DFT.

Summary:
Crystal system: tetragonal

a b c (Å): 3.288 3.288 7.976
angles (deg): 90.00 90.00 90.00
Positions (direct):
Zr: 0.000 0.000 0.193
Tc: 0.500 0.500 0.000
Y: 0.500 0.500 0.500
Zr: 0.000 0.000 0.807


Most stable = arrangement i


Arrangement i

Computed, not measured: a crystal of FeCuOs2 relaxed with PBEsol at the SCAN level of DFT.

Summary:
Crystal system: tetragonal

a b c (Å): 3.722 3.722 4.489
angles (deg): 114.49 114.49 90.00
Positions (direct):
Fe: 0.000 0.000 0.000
Os: 0.750 0.250 0.500
Cu: 0.500 0.500 0.000
Os: 0.250 0.750 0.500


Arrangement ii

Computed, not measured: a crystal of FeCuOs2 relaxed with PBEsol at the SCAN level of DFT.

Summary:
Crystal system: orthorhombic

a b c (Å): 2.674 3.732 5.130
angles (deg): 90.00 90.00 90.00
Positions (direct):
Fe: 0.500 0.500 0.738
Os: 0.500 0.500 0.245
Os: 0.000 0.000 0.006
Cu: 0.000 0.000 0.511


Most stable = arrangement ii


Arrangement i

Computed, not measured: a crystal of YSc2Re relaxed with PBEsol at the SCAN level of DFT.

Summary:
Crystal system: monoclinic

a b c (Å): 3.110 4.509 6.179
angles (deg): 90.00 104.59 90.00
Positions (direct):
Y: 0.467 0.000 0.533
Re: 0.206 0.500 0.771
Sc: 0.743 0.500 0.215
Sc: 0.085 0.000 0.981


Arrangement ii

Computed, not measured: a crystal of YSc2Re relaxed with PBEsol at the SCAN level of DFT.

Summary:
Crystal system: trigonal

a b c (Å): 3.028 3.028 10.784
angles (deg): 81.93 81.93 60.00
Positions (direct):
Re: 0.000 0.000 0.000
Y: 0.500 0.500 0.500
Sc: 0.079 0.079 0.763
Sc: 0.921 0.921 0.237


Most stable = arrangement i


Arrangement i

Computed, not measured: a crystal of MgZr2Zn relaxed with PBEsol at the SCAN level of DFT.

Summary:
Crystal system: orthorhombic

a b c (Å): 3.139 5.082 5.754
angles (deg): 116.21 105.83 90.00
Positions (direct):
Zn: 0.244 0.744 0.487
Zr: 0.984 0.984 0.968
Mg: 0.525 0.525 0.050
Zr: 0.747 0.247 0.495


Arrangement ii

Computed, not measured: a crystal of MgZr2Zn relaxed with PBEsol at the SCAN level of DFT.

Summary:
Crystal system: orthorhombic

a b c (Å): 3.175 5.066 5.066
angles (deg): 107.58 90.00 90.00
Positions (direct):
Mg: 0.500 0.000 0.000
Zr: 0.000 0.000 0.500
Zr: 0.000 0.500 0.000
Zn: 0.500 0.500 0.500


Most stable = arrangement i


Arrangement i

Computed, not measured: a crystal of Tl2HgAu relaxed with PBEsol at the SCAN level of DFT.

Summary:
Crystal system: tetragonal

a b c (Å): 3.379 3.379 8.402
angles (deg): 90.00 90.00 90.00
Positions (direct):
Tl: 0.500 0.500 0.708
Au: 0.000 0.000 0.488
Hg: 0.500 0.500 0.284
Tl: 0.000 0.000 0.021


Arrangement ii

Computed, not measured: a crystal of Tl2HgAu relaxed with PBEsol at the SCAN level of DFT.

Summary:
Crystal system: cubic

a b c (Å): 5.145 5.145 5.145
angles (deg): 60.00 60.00 60.00
Positions (direct):
Au: 0.000 0.000 0.000
Tl: 0.750 0.750 0.750
Tl: 0.250 0.250 0.250
Hg: 0.500 0.500 0.500


Most stable = arrangement i


Arrangement i

Computed, not measured: a crystal of Ca2PtBr relaxed with PBEsol at the SCAN level of DFT.

Summary:
Crystal system: orthorhombic

a b c (Å): 3.733 3.748 8.010
angles (deg): 103.53 103.48 90.00
Positions (direct):
Ca: 0.816 0.316 0.632
Ca: 0.029 0.029 0.058
Pt: 0.452 0.452 0.903
Br: 0.204 0.704 0.408


Arrangement ii

Computed, not measured: a crystal of Ca2PtBr relaxed with PBEsol at the SCAN level of DFT.

Summary:
Crystal system: trigonal

a b c (Å): 4.061 4.061 7.734
angles (deg): 74.78 74.78 60.00
Positions (direct):
Pt: 0.000 0.000 0.000
Br: 0.500 0.500 0.500
Ca: 0.263 0.263 0.211
Ca: 0.737 0.737 0.789


Most stable = arrangement ii


Arrangement i

Computed, not measured: a crystal of Sr2ReBr relaxed with PBEsol at the SCAN level of DFT.

Summary:
Crystal system: orthorhombic

a b c (Å): 3.391 5.198 6.096
angles (deg): 90.00 90.00 90.00
Positions (direct):
Re: 0.500 0.500 0.500
Sr: 0.500 0.500 0.000
Br: 0.000 0.000 0.000
Sr: 0.000 0.000 0.500


Arrangement ii

Computed, not measured: a crystal of Sr2ReBr relaxed with PBEsol at the SCAN level of DFT.

Summary:
Crystal system: tetragonal

a b c (Å): 3.579 3.579 9.450
angles (deg): 90.00 90.00 90.00
Positions (direct):
Sr: 0.000 0.000 0.937
Br: 0.000 0.000 0.503
Sr: 0.500 0.500 0.325
Re: 0.500 0.500 0.734


Most stable = arrangement i